# 1
Compound: ScSe2F
Source: the Alexandria database
Functional: PBE-GGA
Structure: optimized geometry

The structure in extended XYZ format:
```
4
Lattice="2.327 0.000 7.022 -1.164 2.016 7.022 -1.164 -2.016 7.022" Properties=species:S:1:pos:R:3 pbc="T T T"
Sc 0.000 0.000 10.533
Se 0.000 0.000 18.930
Se 0.000 0.000 2.136
F 0.000 0.000 0.000
```

Summary:
uncorrected formation energy	-1252	meV per atom
total magnetic moment	0.00	μB/cell
space-group type	R-3m (166)
theoretical density	3.728	Mg/m³


# 2
Compound: Ca2SiW
Source: the Alexandria database
Functional: PBE-GGA
Structure: optimized geometry

The structure in extended XYZ format:
```
4
Lattice="-1.917 1.977 -1.033 -0.361 -1.622 -2.427 -7.185 -4.750 4.243" Properties=species:S:1:pos:R:3 pbc="T T T"
Ca -0.093 -0.061 0.055
Ca -3.499 -2.314 2.067
Si -2.935 -1.010 -0.669
W -6.527 -3.385 1.452
```

Summary:
uncorrected formation energy	420	meV per atom
total magnetic moment	0.00	μB/cell
space-group type	P4/mmm (123)
theoretical density	5.838	Mg/m³